Here is crystalline Pm3Tm4Sb4 at its relaxed geometry from the Alexandria database. Energies are from PBE-GGA.

abc: 11.103 7.257 7.257
angles: 34.32 90.00 90.00
Element x y z (fractional)
Pm 0.000 0.000 0.000
Pm 0.350 0.071 0.071
Pm 0.650 0.071 0.071
Tm 0.000 0.298 0.298
Tm 0.244 0.773 0.773
Tm 0.500 0.367 0.367
Tm 0.756 0.773 0.773
Sb 0.000 0.657 0.657
Sb 0.218 0.433 0.433
Sb 0.500 0.698 0.698
Sb 0.782 0.433 0.433

Calculated values
Total energy   -56.4 eV per cell
Uncorrected formation energy   -706 meV/atom
Volume   329.7 Å³/cell

***

Here is crystalline PmTmSb2 at its relaxed geometry from the Alexandria database. Energies are from PBE-GGA.

abc: 4.389 4.389 22.417
angles: 90.00 90.00 120.00
Element x y z (fractional)
Pm 0.000 0.000 0.000
Pm 0.333 0.667 0.667
Pm 0.667 0.333 0.333
Tm 0.000 0.000 0.829
Tm 0.333 0.667 0.496
Tm 0.667 0.333 0.163
Sb 0.000 0.000 0.416
Sb 0.000 0.000 0.579
Sb 0.333 0.667 0.083
Sb 0.333 0.667 0.246
Sb 0.667 0.333 0.750
Sb 0.667 0.333 0.913

Calculated values
Total energy   -64.4 eV per cell
Uncorrected formation energy   -1000 meV/atom
Volume   374.0 Å³/cell
Offset from the most stable computed form   0.124 eV/atom

***

Here is crystalline PmTmSb2 at its relaxed geometry from the Alexandria database. Energies are from PBE-GGA.

abc: 4.419 4.419 21.598
angles: 90.00 90.00 120.00
Element x y z (fractional)
Pm 0.000 0.000 0.000
Pm 0.333 0.667 0.667
Pm 0.667 0.333 0.333
Tm 0.000 0.000 0.500
Tm 0.333 0.667 0.167
Tm 0.667 0.333 0.833
Sb 0.000 0.000 0.246
Sb 0.000 0.000 0.754
Sb 0.333 0.667 0.420
Sb 0.333 0.667 0.913
Sb 0.667 0.333 0.087
Sb 0.667 0.333 0.580

Calculated values
Total energy   -65.9 eV per cell
Uncorrected formation energy   -1123 meV/atom
Volume   365.3 Å³/cell
Offset from the most stable computed form   0.000 eV/atom

***

Here is crystalline Pm2Tm3Sb2 at its relaxed geometry from the Alexandria database. Energies are from PBE-GGA.

abc: 12.078 4.289 8.586
angles: 90.00 110.30 90.00
Element x y z (fractional)
Pm 0.133 0.000 0.290
Pm 0.367 0.500 0.710
Pm 0.633 0.500 0.290
Pm 0.867 0.000 0.710
Tm 0.000 0.500 0.500
Tm 0.125 0.500 0.946
Tm 0.375 0.000 0.054
Tm 0.500 0.000 0.500
Tm 0.625 0.000 0.946
Tm 0.875 0.500 0.054
Sb 0.169 0.000 0.701
Sb 0.331 0.500 0.299
Sb 0.669 0.500 0.701
Sb 0.831 0.000 0.299

Calculated values
Total energy   -71.3 eV per cell
Uncorrected formation energy   -642 meV/atom
Volume   417.2 Å³/cell

***

Here is crystalline PmTmSb2 at its relaxed geometry from the Alexandria database. Energies are from PBE-GGA.

abc: 5.718 5.718 3.348
angles: 90.00 90.00 90.00
Element x y z (fractional)
Pm 0.000 0.000 0.000
Tm 0.500 0.500 0.000
Sb 0.000 0.500 0.500
Sb 0.500 0.000 0.500

Calculated values
Total energy   -20.8 eV per cell
Uncorrected formation energy   -835 meV/atom
Volume   109.5 Å³/cell
Offset from the most stable computed form   0.288 eV/atom

***

Here is crystalline Pm3Tm2Sb3 at its relaxed geometry from the Alexandria database. Energies are from PBE-GGA.

abc: 9.082 9.082 6.391
angles: 90.00 90.00 120.00
Element x y z (fractional)
Pm 0.000 0.248 0.250
Pm 0.000 0.752 0.750
Pm 0.248 0.000 0.250
Pm 0.248 0.248 0.750
Pm 0.752 0.000 0.750
Pm 0.752 0.752 0.250
Tm 0.333 0.667 0.000
Tm 0.333 0.667 0.500
Tm 0.667 0.333 0.000
Tm 0.667 0.333 0.500
Sb 0.000 0.394 0.750
Sb 0.000 0.606 0.250
Sb 0.394 0.000 0.750
Sb 0.394 0.394 0.250
Sb 0.606 0.000 0.250
Sb 0.606 0.606 0.750

Calculated values
Total energy   -86.0 eV per cell
Uncorrected formation energy   -931 meV/atom
Volume   456.6 Å³/cell

***

Here is crystalline PmTm2Sb2 at its relaxed geometry from the Alexandria database. Energies are from PBE-GGA.

abc: 7.907 7.907 6.053
angles: 111.17 111.17 98.17
Element x y z (fractional)
Pm 0.101 0.899 0.750
Pm 0.899 0.101 0.250
Tm 0.226 0.414 0.014
Tm 0.414 0.226 0.514
Tm 0.586 0.774 0.486
Tm 0.774 0.586 0.986
Sb 0.181 0.819 0.250
Sb 0.375 0.625 0.750
Sb 0.625 0.375 0.250
Sb 0.819 0.181 0.750

Calculated values
Total energy   -50.1 eV per cell
Uncorrected formation energy   -627 meV/atom
Volume   312.4 Å³/cell

***

Here is crystalline Pm3Tm4Sb8 at its relaxed geometry from the Alexandria database. Energies are from PBE-GGA.

abc: 8.792 8.792 8.748
angles: 119.79 119.79 90.06
Element x y z (fractional)
Pm 0.000 0.000 0.000
Pm 0.000 0.500 0.000
Pm 0.500 0.000 0.000
Tm 0.000 0.500 0.500
Tm 0.500 0.000 0.500
Tm 0.500 0.500 0.000
Tm 0.500 0.500 0.500
Sb 0.251 0.749 0.500
Sb 0.253 0.747 0.000
Sb 0.254 0.254 0.508
Sb 0.255 0.255 0.002
Sb 0.745 0.745 0.998
Sb 0.746 0.746 0.492
Sb 0.747 0.253 0.000
Sb 0.749 0.251 0.500

Calculated values
Total energy   -78.3 eV per cell
Uncorrected formation energy   -876 meV/atom
Volume   481.0 Å³/cell

***

Here is crystalline Pm5Tm3Sb8 at its relaxed geometry from the Alexandria database. Energies are from PBE-GGA.

abc: 8.868 8.868 8.868
angles: 60.06 60.06 60.06
Element x y z (fractional)
Pm 0.000 0.000 0.000
Pm 0.000 0.500 0.500
Pm 0.500 0.000 0.500
Pm 0.500 0.500 0.000
Pm 0.500 0.500 0.500
Tm 0.000 0.000 0.500
Tm 0.000 0.500 0.000
Tm 0.500 0.000 0.000
Sb 0.243 0.750 0.750
Sb 0.247 0.247 0.247
Sb 0.250 0.250 0.757
Sb 0.250 0.757 0.250
Sb 0.750 0.243 0.750
Sb 0.750 0.750 0.243
Sb 0.753 0.753 0.753
Sb 0.757 0.250 0.250

Calculated values
Total energy   -88.3 eV per cell
Uncorrected formation energy   -1136 meV/atom
Volume   493.8 Å³/cell

***

Here is crystalline PmTm8Sb6 at its relaxed geometry from the Alexandria database. Energies are from PBE-GGA.

abc: 9.380 9.380 9.380
angles: 50.20 50.20 50.20
Element x y z (fractional)
Pm 0.000 0.000 0.000
Tm 0.126 0.445 0.797
Tm 0.203 0.874 0.555
Tm 0.334 0.334 0.334
Tm 0.445 0.797 0.126
Tm 0.555 0.203 0.874
Tm 0.666 0.666 0.666
Tm 0.796 0.126 0.445
Tm 0.874 0.555 0.203
Sb 0.066 0.727 0.413
Sb 0.273 0.587 0.934
Sb 0.413 0.066 0.727
Sb 0.587 0.934 0.273
Sb 0.727 0.413 0.066
Sb 0.934 0.273 0.587

Calculated values
Total energy   -75.8 eV per cell
Uncorrected formation energy   -703 meV/atom
Volume   448.5 Å³/cell

***

Here is crystalline PmTmSb2 at its relaxed geometry from the Alexandria database. Energies are from PBE-GGA.

abc: 7.639 7.639 7.639
angles: 90.00 90.00 90.00
Element x y z (fractional)
Pm 0.000 0.000 0.000
Pm 0.000 0.500 0.500
Pm 0.500 0.000 0.500
Pm 0.500 0.500 0.000
Tm 0.000 0.000 0.500
Tm 0.000 0.500 0.000
Tm 0.500 0.000 0.000
Tm 0.500 0.500 0.500
Sb 0.250 0.250 0.250
Sb 0.250 0.250 0.750
Sb 0.250 0.750 0.250
Sb 0.250 0.750 0.750
Sb 0.750 0.250 0.250
Sb 0.750 0.250 0.750
Sb 0.750 0.750 0.250
Sb 0.750 0.750 0.750

Calculated values
Total energy   -82.6 eV per cell
Uncorrected formation energy   -797 meV/atom
Volume   445.7 Å³/cell
Offset from the most stable computed form   0.327 eV/atom

***

Here is crystalline Pm5TmSb6 at its relaxed geometry from the Alexandria database. Energies are from PBE-GGA.

abc: 7.740 7.740 7.737
angles: 99.59 99.59 120.02
Element x y z (fractional)
Pm 0.000 0.000 0.000
Pm 0.166 0.834 0.500
Pm 0.331 0.669 0.000
Pm 0.669 0.331 0.000
Pm 0.834 0.166 0.500
Tm 0.500 0.500 0.500
Sb 0.091 0.418 0.254
Sb 0.255 0.255 0.748
Sb 0.418 0.091 0.254
Sb 0.582 0.909 0.746
Sb 0.745 0.745 0.252
Sb 0.909 0.582 0.746

Calculated values
Total energy   -66.9 eV per cell
Uncorrected formation energy   -1162 meV/atom
Volume   378.4 Å³/cell

***

Here is crystalline Pm2Tm2Sb3 at its relaxed geometry from the Alexandria database. Energies are from PBE-GGA.

abc: 14.136 4.435 7.377
angles: 90.00 99.86 90.00
Element x y z (fractional)
Pm 0.123 0.000 0.357
Pm 0.377 0.500 0.643
Pm 0.623 0.500 0.357
Pm 0.877 0.000 0.643
Tm 0.121 0.500 0.880
Tm 0.379 0.000 0.120
Tm 0.621 0.000 0.880
Tm 0.879 0.500 0.120
Sb 0.000 0.500 0.500
Sb 0.240 0.000 0.758
Sb 0.260 0.500 0.242
Sb 0.500 0.000 0.500
Sb 0.740 0.500 0.758
Sb 0.760 0.000 0.242

Calculated values
Total energy   -73.4 eV per cell
Uncorrected formation energy   -842 meV/atom
Volume   455.7 Å³/cell

***

Here is crystalline Pm2TmSb2 at its relaxed geometry from the Alexandria database. Energies are from PBE-GGA.

abc: 7.960 7.960 7.960
angles: 115.73 83.31 133.03
Element x y z (fractional)
Pm 0.151 0.144 0.296
Pm 0.349 0.644 0.993
Pm 0.651 0.356 0.007
Pm 0.849 0.856 0.704
Tm 0.250 0.750 0.500
Tm 0.750 0.250 0.500
Sb 0.107 0.777 0.884
Sb 0.393 0.277 0.670
Sb 0.607 0.723 0.330
Sb 0.893 0.223 0.116

Calculated values
Total energy   -52.8 eV per cell
Uncorrected formation energy   -832 meV/atom
Volume   319.5 Å³/cell

***

Here is crystalline Pm3TmSb4 at its relaxed geometry from the Alexandria database. Energies are from PBE-GGA.

abc: 4.458 4.458 12.588
angles: 90.00 90.00 90.00
Element x y z (fractional)
Pm 0.000 0.000 0.000
Pm 0.500 0.500 0.251
Pm 0.500 0.500 0.749
Tm 0.000 0.000 0.500
Sb 0.000 0.000 0.254
Sb 0.000 0.000 0.746
Sb 0.500 0.500 0.000
Sb 0.500 0.500 0.500

Calculated values
Total energy   -44.4 eV per cell
Uncorrected formation energy   -1149 meV/atom
Volume   250.2 Å³/cell
Offset from the most stable computed form   0.002 eV/atom

***

Here is crystalline PmTmSb2 at its relaxed geometry from the Alexandria database. Energies are from PBE-GGA.

abc: 4.401 4.401 14.540
angles: 90.00 90.00 120.00
Element x y z (fractional)
Pm 0.333 0.667 0.250
Pm 0.667 0.333 0.750
Tm 0.000 0.000 0.000
Tm 0.000 0.000 0.500
Sb 0.333 0.667 0.618
Sb 0.333 0.667 0.882
Sb 0.667 0.333 0.118
Sb 0.667 0.333 0.382

Calculated values
Total energy   -43.5 eV per cell
Uncorrected formation energy   -1068 meV/atom
Volume   243.9 Å³/cell
Offset from the most stable computed form   0.056 eV/atom

***

Here is crystalline PmTm4Sb2 at its relaxed geometry from the Alexandria database. Energies are from PBE-GGA.

abc: 5.244 5.244 16.283
angles: 90.00 90.00 90.00
Element x y z (fractional)
Pm 0.000 0.000 0.000
Pm 0.500 0.500 0.500
Tm 0.000 0.000 0.184
Tm 0.000 0.000 0.816
Tm 0.000 0.500 0.000
Tm 0.000 0.500 0.500
Tm 0.500 0.000 0.000
Tm 0.500 0.000 0.500
Tm 0.500 0.500 0.316
Tm 0.500 0.500 0.684
Sb 0.000 0.000 0.367
Sb 0.000 0.000 0.633
Sb 0.500 0.500 0.133
Sb 0.500 0.500 0.867

Calculated values
Total energy   -57.0 eV per cell
Uncorrected formation energy   342 meV/atom
Volume   447.7 Å³/cell

***

Here is crystalline Pm5Tm2Sb4 at its relaxed geometry from the Alexandria database. Energies are from PBE-GGA.

abc: 8.862 8.862 10.925
angles: 93.52 93.52 25.84
Element x y z (fractional)
Pm 0.000 0.000 0.000
Pm 0.324 0.324 0.137
Pm 0.379 0.379 0.496
Pm 0.621 0.621 0.504
Pm 0.676 0.676 0.863
Tm 0.355 0.355 0.840
Tm 0.645 0.645 0.160
Sb 0.227 0.227 0.653
Sb 0.493 0.493 0.271
Sb 0.507 0.507 0.729
Sb 0.773 0.773 0.347

Calculated values
Total energy   -53.9 eV per cell
Uncorrected formation energy   -431 meV/atom
Volume   373.2 Å³/cell

***

Here is crystalline PmTm5Sb6 at its relaxed geometry from the Alexandria database. Energies are from PBE-GGA.

abc: 7.561 7.561 7.559
angles: 99.61 99.61 120.01
Element x y z (fractional)
Pm 0.000 0.000 0.000
Tm 0.164 0.836 0.500
Tm 0.332 0.668 0.000
Tm 0.500 0.500 0.500
Tm 0.668 0.332 0.000
Tm 0.836 0.164 0.500
Sb 0.085 0.424 0.254
Sb 0.256 0.256 0.748
Sb 0.424 0.085 0.254
Sb 0.576 0.915 0.746
Sb 0.744 0.744 0.252
Sb 0.915 0.576 0.746

Calculated values
Total energy   -64.8 eV per cell
Uncorrected formation energy   -1083 meV/atom
Volume   352.8 Å³/cell

***

Here is crystalline PmTm3Sb at its relaxed geometry from the Alexandria database. Energies are from PBE-GGA.

abc: 10.631 3.995 14.269
angles: 90.00 90.00 90.00
Element x y z (fractional)
Pm 0.170 0.250 0.025
Pm 0.330 0.750 0.525
Pm 0.670 0.250 0.475
Pm 0.830 0.750 0.975
Tm 0.082 0.250 0.422
Tm 0.111 0.750 0.229
Tm 0.139 0.750 0.813
Tm 0.361 0.250 0.313
Tm 0.389 0.250 0.729
Tm 0.418 0.750 0.922
Tm 0.582 0.250 0.078
Tm 0.611 0.750 0.271
Tm 0.639 0.750 0.687
Tm 0.861 0.250 0.187
Tm 0.889 0.250 0.771
Tm 0.918 0.750 0.578
Sb 0.129 0.250 0.638
Sb 0.371 0.750 0.138
Sb 0.629 0.250 0.862
Sb 0.871 0.750 0.362

Calculated values
Total energy   -96.9 eV per cell
Uncorrected formation energy   -387 meV/atom
Volume   606.1 Å³/cell